(1)
A geometry-optimized HfMnInS2 structure. Source: Alexandria via LeMat-Bulk, functional PBE. Values from VASP.

Geometry as Quantum ESPRESSO input:
```
&SYSTEM
  ibrav = 0, nat = 5, ntyp = 4
/
ATOMIC_SPECIES
In 114.82 In.upf
Hf 178.49 Hf.upf
Mn 54.94 Mn.upf
S 32.06 S.upf
CELL_PARAMETERS angstrom
4.465 0.000 0.000
0.000 5.154 0.000
0.000 0.000 4.465
ATOMIC_POSITIONS angstrom
In 0.000 2.577 0.000
Hf 2.232 2.577 2.232
Mn 0.000 0.000 0.000
S 0.000 0.000 2.232
S 2.232 0.000 0.000
```

Uncorrected formation energy = 1.33 eV per formula unit
Symmetry = P4/mmm

=====

(2)
A geometry-optimized SnPt2Cl structure. Source: Alexandria via LeMat-Bulk, functional PBE. Values from VASP.

Geometry as Quantum ESPRESSO input:
```
&SYSTEM
  ibrav = 0, nat = 4, ntyp = 3
/
ATOMIC_SPECIES
Pt 195.08 Pt.upf
Sn 118.71 Sn.upf
Cl 35.45 Cl.upf
CELL_PARAMETERS angstrom
0.000 3.316 3.316
3.316 0.000 3.316
3.316 3.316 0.000
ATOMIC_POSITIONS angstrom
Pt 1.658 1.658 1.658
Pt 4.974 4.974 4.974
Sn 3.316 3.316 3.316
Cl 0.000 0.000 0.000
```

Uncorrected formation energy = 0.57 eV per formula unit
Symmetry = Fm-3m

=====

(3)
A geometry-optimized Nd8Se6S structure. Source: Alexandria via LeMat-Bulk, functional PBE. Values from VASP.

Geometry as Quantum ESPRESSO input:
```
&SYSTEM
  ibrav = 0, nat = 15, ntyp = 3
/
ATOMIC_SPECIES
Se 78.96 Se.upf
Nd 144.24 Nd.upf
S 32.06 S.upf
CELL_PARAMETERS angstrom
4.307 0.000 0.000
0.000 9.203 -5.313
0.000 0.000 10.627
ATOMIC_POSITIONS angstrom
Se 1.046 4.779 4.116
Se 3.261 4.424 1.197
Se 1.046 1.175 4.430
Se 1.046 3.249 7.394
Se 3.261 5.954 -2.081
Se 3.261 8.028 0.884
Nd 1.137 0.302 7.452
Nd 3.205 3.068 5.313
Nd 3.169 6.604 3.464
Nd 1.137 2.599 1.849
Nd 3.169 2.901 -1.326
Nd 1.102 6.135 0.000
Nd 1.137 6.302 6.639
Nd 3.169 8.901 -2.138
S 2.153 0.000 0.000
```

Uncorrected formation energy = -20.97 eV per formula unit
Symmetry = P-3

=====

(4)
A geometry-optimized Ac2BiAu structure. Source: Alexandria via LeMat-Bulk, functional PBE. Values from VASP.

Geometry as Quantum ESPRESSO input:
```
&SYSTEM
  ibrav = 0, nat = 4, ntyp = 3
/
ATOMIC_SPECIES
Bi 208.98 Bi.upf
Ac 227.00 Ac.upf
Au 196.97 Au.upf
CELL_PARAMETERS angstrom
-3.519 -1.977 2.383
0.683 -1.470 4.398
-3.096 5.938 4.962
ATOMIC_POSITIONS angstrom
Bi 0.000 0.000 0.000
Ac -1.523 0.756 2.987
Ac -4.409 1.736 8.757
Au -2.966 1.246 5.872
```

Energy of formation = -3.17 eV/f.u.
Symmetry = R-3m

=====

Record-wise DFT total energy values, in eV for the cell shown: -28.783 -17.357 -84.150 -18.547